No. 1
Entry from Alexandria via LeMat-Bulk: a geometry-optimized AsSeCl2 structure (PBE).

extended XYZ file:
```
4
Lattice="-0.804 -2.437 -2.614 -3.729 -3.280 4.204 -7.897 -0.111 2.532" Properties=species:S:1:pos:R:3 pbc="T T T"
As -7.971 -3.461 3.112
Se -6.043 -1.960 3.686
Cl -0.338 -0.257 0.343
Cl -3.891 -1.845 0.350
```

Summary:
Total magnetic moment = 0.00 μB per cell
Uncorrected energy = -3.250 eV/atom
Uncorrected formation energy = -0.29 eV/atom
Space group = Pm
Volume = 130.83 Å³ per cell
Crystal system = monoclinic


No. 2
Entry from Alexandria via LeMat-Bulk: a geometry-optimized LiCa2Pt structure (PBE).

extended XYZ file:
```
8
Lattice="4.359 0.000 0.000 0.000 5.682 -2.099 0.000 -0.063 8.101" Properties=species:S:1:pos:R:3 pbc="T T T"
Pt 1.090 2.049 4.999
Pt 3.269 3.569 1.003
Li 3.269 3.508 4.898
Li 1.090 2.111 1.104
Ca 3.269 1.301 6.967
Ca 1.090 4.527 2.890
Ca 3.269 1.092 3.112
Ca 1.090 4.318 -0.966
```

Summary:
Energy of formation = -223 kJ/mol of formula units
Total magnetic moment = 0.00 μB per cell
Uncorrected energy = -3.567 eV/atom
Space group = P2_1/m
Volume = 200.05 Å³ per cell
Crystal system = monoclinic


> total magnetic moment of number 1 (AsSeCl2)?

0.00 μB per cell


> Look up the volume of the second one.

200.05 Å³ per cell


> The lowest uncorrected energy belongs to which entry?

LiCa2Pt